Entry 1:
First-principles (GGA-PBE) data for a geometry-optimized BaCa2UO6 structure, as listed in Alexandria via LeMat-Bulk.

Cell: 6.027 6.027 6.348 Å, 61.66 61.66 60.00°
Positions (direct):
Ba  0.795  0.795  0.615
O  0.364  0.691  0.776
O  0.691  0.168  0.776
Ca  0.530  0.530  0.409
U  0.322  0.322  0.034
O  0.168  0.364  0.776
O  0.576  0.246  0.223
Ca  0.014  0.014  0.958
O  0.955  0.576  0.223
O  0.246  0.955  0.223

## Properties
density of states at the Fermi level = 0.0000 states/eV/atom
calculated density = 5.5 Mg/m³
raw formation energy = -297.88 kJ per mole of atoms
space-group type = R3, No. 146

---

Entry 2:
First-principles (GGA-PBE) data for a geometry-optimized Ba3Ca2UO8 structure, as listed in Alexandria via LeMat-Bulk.

Cell: 6.226 6.226 7.986 Å, 90.00 90.00 120.00°
Positions (direct):
O  0.155  0.845  0.342
O  0.333  0.667  0.930
O  0.845  0.155  0.658
Ba  0.000  0.000  0.000
O  0.310  0.155  0.658
O  0.845  0.690  0.658
Ba  0.333  0.667  0.634
U  0.000  0.000  0.500
O  0.690  0.845  0.342
O  0.155  0.310  0.342
Ca  0.333  0.667  0.192
Ca  0.667  0.333  0.808
O  0.667  0.333  0.070
Ba  0.667  0.333  0.366

## Properties
calculated density = 5.3 Mg/m³
raw formation energy = -269.67 kJ per mole of atoms
space-group type = P-3m1, No. 164

---

Entry 3:
First-principles (GGA-PBE) data for a geometry-optimized Ba4CaU3O12 structure, as listed in Alexandria via LeMat-Bulk.

Cell: 7.670 7.670 7.670 Å, 109.47 109.47 109.47°
Positions (direct):
O  0.250  0.500  0.750
O  0.500  0.250  0.750
O  0.750  0.250  0.500
Ba  0.000  0.000  0.500
U  0.500  0.500  0.000
Ba  0.000  0.500  0.000
O  0.750  0.500  0.250
Ca  0.000  0.000  0.000
Ba  0.500  0.500  0.500
O  0.736  0.000  0.736
O  0.264  0.000  0.264
O  0.264  0.264  0.000
O  0.500  0.750  0.250
O  0.736  0.736  0.000
U  0.500  0.000  0.500
Ba  0.500  0.000  0.000
O  0.000  0.736  0.736
O  0.250  0.750  0.500
O  0.000  0.264  0.264
U  0.000  0.500  0.500

## Properties
density of states at the Fermi level = 0.3927 states/eV/atom
calculated density = 7.1 Mg/m³
raw formation energy = -300.87 kJ per mole of atoms
space-group type = Im-3m, No. 229